Record 1
# Rb2NaHgF | Alexandria via LeMat-Bulk | PBE | optimized geometry
data_Rb2NaHgF
_symmetry_space_group_name_H-M 'P 4/m m m'
_symmetry_Int_Tables_number 123
_symmetry_space_group_name_Hall '-P 4 2'
_cell_length_a 5.940
_cell_length_b 5.940
_cell_length_c 4.844
_cell_angle_alpha 90.00
_cell_angle_beta 90.00
_cell_angle_gamma 90.00
loop_
_atom_site_label
_atom_site_fract_x
_atom_site_fract_y
_atom_site_fract_z
_atom_site_occupancy
Rb1 0.000 0.500 0.000 1
Na1 0.000 0.000 0.500 1
Hg1 0.500 0.500 0.500 1
F1 0.000 0.000 0.000 1
# E_tot   -0.0788 hartree per atom
# E_form (uncorrected)   -102.1 kJ per mole of atoms

=====

Record 2
# K2RbCa | Alexandria via LeMat-Bulk | PBE | optimized geometry
data_K2RbCa
_symmetry_space_group_name_H-M 'P 4/m m m'
_symmetry_Int_Tables_number 123
_symmetry_space_group_name_Hall '-P 4 2'
_cell_length_a 7.386
_cell_length_b 7.386
_cell_length_c 4.752
_cell_angle_alpha 90.00
_cell_angle_beta 90.00
_cell_angle_gamma 90.00
loop_
_atom_site_label
_atom_site_fract_x
_atom_site_fract_y
_atom_site_fract_z
_atom_site_occupancy
K1 0.000 0.500 0.000 1
Rb1 0.000 0.000 0.500 1
Ca1 0.500 0.500 0.500 1
# Polymorph energy (0 for the lowest one)   0.13 eV/f.u.
# E_tot   -0.0417 hartree per atom
# E_form   0.16 eV per atom

=====

Record 3
# InSnSbAu3 | Alexandria via LeMat-Bulk | PBE | optimized geometry
data_InSnSbAu3
_symmetry_space_group_name_H-M 'P 1 21/m 1'
_symmetry_Int_Tables_number 11
_symmetry_space_group_name_Hall '-P 2yb'
_cell_length_a 7.157
_cell_length_b 4.425
_cell_length_c 9.402
_cell_angle_alpha 90.00
_cell_angle_beta 98.92
_cell_angle_gamma 90.00
loop_
_atom_site_label
_atom_site_fract_x
_atom_site_fract_y
_atom_site_fract_z
_atom_site_occupancy
In1 0.146 0.250 0.096 1
Sn1 0.284 0.750 0.436 1
Sb1 0.325 0.750 0.831 1
Au1 0.031 0.250 0.784 1
Au2 0.323 0.250 0.611 1
Au3 0.391 0.750 0.139 1
# E_tot   -0.1299 hartree per atom
# E_form (uncorrected)   -8.3 kJ per mole of atoms

=====

Record 4
# InPb2Au | Alexandria via LeMat-Bulk | PBE | optimized geometry
data_InPb2Au
_symmetry_space_group_name_H-M 'P 1 2/m 1'
_symmetry_Int_Tables_number 10
_symmetry_space_group_name_Hall '-P 2y'
_cell_length_a 3.601
_cell_length_b 4.452
_cell_length_c 6.801
_cell_angle_alpha 90.00
_cell_angle_beta 98.63
_cell_angle_gamma 90.00
loop_
_atom_site_label
_atom_site_fract_x
_atom_site_fract_y
_atom_site_fract_z
_atom_site_occupancy
In1 0.000 0.000 0.000 1
Pb1 0.428 0.500 0.732 1
Au1 0.000 0.000 0.500 1
# E_tot   -0.1227 hartree per atom
# E_form   0.02 eV per atom

=====

Record 5
# Ta2ReI2 | Alexandria via LeMat-Bulk | PBE | optimized geometry
data_Ta2ReI2
_symmetry_space_group_name_H-M 'P 4/m b m'
_symmetry_Int_Tables_number 127
_symmetry_space_group_name_Hall '-P 4 2ab'
_cell_length_a 7.769
_cell_length_b 7.769
_cell_length_c 3.308
_cell_angle_alpha 90.00
_cell_angle_beta 90.00
_cell_angle_gamma 90.00
loop_
_atom_site_label
_atom_site_fract_x
_atom_site_fract_y
_atom_site_fract_z
_atom_site_occupancy
Ta1 0.149 0.351 0.000 1
Re1 0.000 0.000 0.500 1
I1 0.154 0.654 0.500 1
# Polymorph energy (0 for the lowest one)   0.00 eV/f.u.
# E_tot   -0.2312 hartree per atom
# E_form (uncorrected)   150.4 kJ per mole of atoms

=====

Record 6
# Sc7Tl6 | Alexandria via LeMat-Bulk | PBE | optimized geometry
data_Sc7Tl6
_symmetry_space_group_name_H-M 'R -3 m'
_symmetry_Int_Tables_number 166
_symmetry_space_group_name_Hall '-R 3 2"'
_cell_length_a 6.1231
_cell_length_b 6.1231
_cell_length_c 30.9408
_cell_angle_alpha 90.00
_cell_angle_beta 90.00
_cell_angle_gamma 120.00
loop_
_atom_site_label
_atom_site_fract_x
_atom_site_fract_y
_atom_site_fract_z
_atom_site_occupancy
Sc1 0.0000 0.0000 0.0000 1
Sc2 0.0009 0.5005 0.5850 1
Tl1 0.0000 0.0000 0.1672 1
Tl2 0.0000 0.0000 0.3407 1
Tl3 0.0000 0.0000 0.4424 1
# E_tot   -0.1642 hartree per atom
# E_form   0.03 eV per atom

=====

Record 7
# Pr3TmFe | Alexandria via LeMat-Bulk | PBE | optimized geometry
data_Pr3TmFe
_symmetry_space_group_name_H-M 'P m -3 m'
_symmetry_Int_Tables_number 221
_symmetry_space_group_name_Hall '-P 4 2 3'
_cell_length_a 5.411
_cell_length_b 5.411
_cell_length_c 5.411
_cell_angle_alpha 90.00
_cell_angle_beta 90.00
_cell_angle_gamma 90.00
loop_
_atom_site_label
_atom_site_fract_x
_atom_site_fract_y
_atom_site_fract_z
_atom_site_occupancy
Pr1 0.000 0.000 0.500 1
Tm1 0.500 0.500 0.500 1
Fe1 0.000 0.000 0.000 1
# E_tot   -0.1918 hartree per atom
# E_form   0.23 eV per atom

=====

Record 8
# CeNdSe3 | Alexandria via LeMat-Bulk | PBE | optimized geometry
data_CeNdSe3
_symmetry_space_group_name_H-M 'P n m a'
_symmetry_Int_Tables_number 62
_symmetry_space_group_name_Hall '-P 2ac 2n'
_cell_length_a 7.859
_cell_length_b 4.202
_cell_length_c 16.269
_cell_angle_alpha 90.00
_cell_angle_beta 90.00
_cell_angle_gamma 90.00
loop_
_atom_site_label
_atom_site_fract_x
_atom_site_fract_y
_atom_site_fract_z
_atom_site_occupancy
Ce1 0.135 0.250 0.206 1
Nd1 0.235 0.750 0.457 1
Se1 0.006 0.250 0.391 1
Se2 0.123 0.750 0.069 1
Se3 0.151 0.250 0.779 1
# Polymorph energy (0 for the lowest one)   0.00 eV/f.u.
# E_tot   -0.2241 hartree per atom
# E_form (uncorrected)   -180.0 kJ per mole of atoms

=====

Record 9
# Pm3Pr2Tm5 | Alexandria via LeMat-Bulk | PBE | optimized geometry
data_Pm3Pr2Tm5
_symmetry_space_group_name_H-M 'C 1 2/c 1'
_symmetry_Int_Tables_number 15
_symmetry_space_group_name_Hall '-C 2yc'
_cell_length_a 10.606
_cell_length_b 16.094
_cell_length_c 9.385
_cell_angle_alpha 90.00
_cell_angle_beta 124.30
_cell_angle_gamma 90.00
loop_
_atom_site_label
_atom_site_fract_x
_atom_site_fract_y
_atom_site_fract_z
_atom_site_occupancy
Pm1 0.000 0.229 0.250 1
Pm2 0.155 0.122 0.048 1
Pr1 0.143 0.377 0.548 1
Tm1 0.000 0.027 0.250 1
Tm2 0.000 0.269 0.750 1
Tm3 0.000 0.476 0.750 1
Tm4 0.237 0.115 0.730 1
# Polymorph energy (0 for the lowest one)   0.00 eV/f.u.
# E_tot   -0.1630 hartree per atom
# E_form   0.18 eV per atom

=====

Record 10
# AcHoSb2Pd5 | Alexandria via LeMat-Bulk | PBE | optimized geometry
data_AcHoSb2Pd5
_symmetry_space_group_name_H-M 'P 4/m m m'
_symmetry_Int_Tables_number 123
_symmetry_space_group_name_Hall '-P 4 2'
_cell_length_a 5.017
_cell_length_b 5.017
_cell_length_c 8.845
_cell_angle_alpha 90.00
_cell_angle_beta 90.00
_cell_angle_gamma 90.00
loop_
_atom_site_label
_atom_site_fract_x
_atom_site_fract_y
_atom_site_fract_z
_atom_site_occupancy
Ac1 0.000 0.000 0.000 1
Ho1 0.000 0.000 0.500 1
Sb1 0.500 0.500 0.287 1
Pd1 0.000 0.500 0.331 1
Pd2 0.500 0.500 0.000 1
# E_tot   -0.1947 hartree per atom
# E_form (uncorrected)   -51.4 kJ per mole of atoms

=====

Record 11
# TaTi2Co | Alexandria via LeMat-Bulk | PBE | optimized geometry
data_TaTi2Co
_symmetry_space_group_name_H-M 'P 4/m m m'
_symmetry_Int_Tables_number 123
_symmetry_space_group_name_Hall '-P 4 2'
_cell_length_a 3.020
_cell_length_b 3.020
_cell_length_c 6.733
_cell_angle_alpha 90.00
_cell_angle_beta 90.00
_cell_angle_gamma 90.00
loop_
_atom_site_label
_atom_site_fract_x
_atom_site_fract_y
_atom_site_fract_z
_atom_site_occupancy
Ta1 0.000 0.000 0.000 1
Ti1 0.500 0.500 0.282 1
Co1 0.000 0.000 0.500 1
# Polymorph energy (0 for the lowest one)   0.00 eV/f.u.
# E_tot   -0.3261 hartree per atom
# E_form   -0.19 eV per atom